Entry from the Alexandria database: a relaxed structure of PtSe2S2 (PBE-GGA).

## Properties
Size of the total moment   0.00 μB per cell
Raw formation energy   -12.3 kJ/mol of formula units
Crystal system   triclinic

Cell lengths 3.6591, 4.5948, 8.6198 Å; angles 108.76, 103.28, 89.75 degrees
Closest atoms and distances in Å follow each position.
Fractional coordinates of all 5 atoms:
1 S 0.2682 0.6062 0.4806  1 S 1.97
2 Se 0.5592 0.7592 0.1074  2 Pt 2.46, 1 Se 2.47
3 Pt 0.0000 0.0000 0.0000  4 Se 2.46
4 Se 0.4408 0.2408 0.8926  2 Pt 2.46, 1 Se 2.47
5 S 0.7318 0.3938 0.5194  1 S 1.97

***

Entry from the Alexandria database: a relaxed structure of PtSeS3 (PBE-GGA).

## Properties
Size of the total moment   0.00 μB per cell
Raw formation energy   344.4 kJ/mol of formula units
Polymorph energy (0 for the lowest one)   0 meV per atom
Crystal system   cubic

Cell lengths 4.6880, 4.6880, 4.6880 Å; angles 90.00, 90.00, 90.00 degrees
Closest atoms and distances in Å follow each position.
Fractional coordinates of all 5 atoms:
1 S 0.5000 0.0000 0.0000  2 Pt 2.34
2 S 0.0000 0.0000 0.5000  2 Pt 2.34
3 Se 0.5000 0.5000 0.5000  12 S 3.31
4 Pt 0.0000 0.0000 0.0000  6 S 2.34
5 S 0.0000 0.5000 0.0000  2 Pt 2.34

***

Entry from the Alexandria database: a relaxed structure of PtSe2S6 (PBE-GGA).

## Properties
Size of the total moment   0.46 μB per cell
Raw formation energy   360.3 kJ/mol of formula units
Crystal system   monoclinic

Cell lengths 3.9970, 8.4210, 8.4213 Å; angles 60.38, 76.37, 76.37 degrees
Closest atoms and distances in Å follow each position.
Fractional coordinates of all 9 atoms:
1 S 0.8623 0.7608 0.5130  1 S 2.10
2 Se 0.2982 0.7015 0.7015  4 S 2.43
3 Pt 0.0000 0.0000 0.0000  4 S 2.37
4 S 0.8623 0.5130 0.7608  1 S 2.10
5 Se 0.7018 0.2985 0.2985  4 S 2.43
6 S 0.1377 0.2392 0.4870  1 S 2.10
7 S 0.5000 0.8493 0.1507  2 Pt 2.37, 1 S 2.55
8 S 0.1377 0.4870 0.2392  1 S 2.10
9 S 0.5000 0.1507 0.8493  2 Pt 2.37, 1 S 2.55

***

- The highest size of the total moment belongs to which entry?
  PtSe2S6

***

What did the third record say?
Entry from the Alexandria database: a relaxed structure of PtSe2S6 (PBE-GGA).

## Properties
Size of the total moment   0.46 μB per cell
Raw formation energy   360.3 kJ/mol of formula units
Crystal system   monoclinic

Cell lengths 3.9970, 8.4210, 8.4213 Å; angles 60.38, 76.37, 76.37 degrees
Closest atoms and distances in Å follow each position.
Fractional coordinates of all 9 atoms:
1 S 0.8623 0.7608 0.5130  1 S 2.10
2 Se 0.2982 0.7015 0.7015  4 S 2.43
3 Pt 0.0000 0.0000 0.0000  4 S 2.37
4 S 0.8623 0.5130 0.7608  1 S 2.10
5 Se 0.7018 0.2985 0.2985  4 S 2.43
6 S 0.1377 0.2392 0.4870  1 S 2.10
7 S 0.5000 0.8493 0.1507  2 Pt 2.37, 1 S 2.55
8 S 0.1377 0.4870 0.2392  1 S 2.10
9 S 0.5000 0.1507 0.8493  2 Pt 2.37, 1 S 2.55

***

- raw formation energy of number 3 (PtSe2S6)?
  360.3 kJ/mol of formula units